# CsNa2NbF8 (PBE-GGA, optimized geometry)
data_CsNa2NbF8
_chemical_formula_sum 'Cs1 Na2 Nb1 F8'
_space_group_name_H-M_alt 'P -1'
_space_group_IT_number 2
_cell_length_a 5.3043
_cell_length_b 5.5796
_cell_length_c 8.5059
_cell_angle_alpha 79.42
_cell_angle_beta 80.08
_cell_angle_gamma 77.47
loop_
_space_group_symop_operation_xyz
'x,y,z'
'-x,-y,-z'
loop_
_atom_site_label
_atom_site_fract_x
_atom_site_fract_y
_atom_site_fract_z
Cs1 0.0000 0.0000 0.0000
Na1 0.4571 0.4606 0.1961
Nb1 0.0000 0.0000 0.5000
F1 0.1926 0.7853 0.3457
F2 0.2045 0.8081 0.6656
F3 0.2474 0.2199 0.4337
F4 0.3483 0.3120 0.0039
# Magnetization in μB/f.u.: 0.0
# Theoretical density in g/cm³: 2.94
# Formation energy from raw total energies in eV per atom: -2.886

# CsNaNbOF5 (PBE-GGA, optimized geometry)
data_CsNaNbOF5
_chemical_formula_sum 'Cs8 Na8 Nb8 O8 F40'
_space_group_name_H-M_alt 'P b c n'
_space_group_IT_number 60
_cell_length_a 8.5478
_cell_length_b 13.5382
_cell_length_c 11.4167
_cell_angle_alpha 90.00
_cell_angle_beta 90.00
_cell_angle_gamma 90.00
loop_
_space_group_symop_operation_xyz
'x,y,z'
'-x,-y,-z'
'-x+1/2,-y+1/2,z+1/2'
'x+1/2,y+1/2,-z+1/2'
'x+1/2,-y+1/2,-z'
'-x+1/2,y+1/2,z'
'-x,y,-z+1/2'
'x,-y,z+1/2'
loop_
_atom_site_label
_atom_site_fract_x
_atom_site_fract_y
_atom_site_fract_z
Cs1 0.0000 0.0815 0.2500
Cs2 0.0000 0.3858 0.7500
Na1 0.2454 0.3528 0.0790
Nb1 0.2464 0.3676 0.4171
O1 0.2185 0.4121 0.2711
F1 0.0230 0.3779 0.4633
F2 0.0238 0.1513 0.9024
F3 0.2098 0.0014 0.9880
F4 0.2235 0.2230 0.3856
F5 0.2282 0.1846 0.0934
# Magnetization in μB/f.u.: 0.1
# Theoretical density in g/cm³: 3.62
# Formation energy from raw total energies in eV per atom: -2.965

# Cs2NaNdF6 (PBE-GGA, optimized geometry)
data_Cs2NaNdF6
_chemical_formula_sum 'Cs8 Na4 Nd4 F24'
_space_group_name_H-M_alt 'F m -3 m'
_space_group_IT_number 225
_space_group_name_Hall '-F 4 2 3'
_cell_length_a 9.3323
_cell_length_b 9.3323
_cell_length_c 9.3323
_cell_angle_alpha 90.00
_cell_angle_beta 90.00
_cell_angle_gamma 90.00
loop_
_atom_site_label
_atom_site_fract_x
_atom_site_fract_y
_atom_site_fract_z
Cs1 0.2500 0.2500 0.2500
Na1 0.0000 0.0000 0.0000
Nd1 0.0000 0.0000 0.5000
F1 0.0000 0.0000 0.2546
# Magnetization in μB/f.u.: 0.0
# Theoretical density in g/cm³: 4.47
# Formation energy from raw total energies in eV per atom: -3.288

# Cs3Na2NdF9 (PBE-GGA, optimized geometry)
data_Cs3Na2NdF9
_chemical_formula_sum 'Cs3 Na2 Nd1 F9'
_space_group_name_H-M_alt 'P -3 m 1'
_space_group_IT_number 164
_space_group_name_Hall '-P 3 2"'
_cell_length_a 6.5265
_cell_length_b 6.5265
_cell_length_c 8.1542
_cell_angle_alpha 90.00
_cell_angle_beta 90.00
_cell_angle_gamma 120.00
loop_
_atom_site_label
_atom_site_fract_x
_atom_site_fract_y
_atom_site_fract_z
Cs1 0.0000 0.0000 0.0000
Cs2 0.3333 0.6667 0.6916
Na1 0.3333 0.6667 0.1775
Nd1 0.0000 0.0000 0.5000
F1 0.0000 0.5000 0.0000
F2 0.1634 0.3268 0.3349
# Magnetization in μB/f.u.: 1.3
# Theoretical density in g/cm³: 4.20
# Formation energy from raw total energies in eV per atom: -2.910

# CsNa2NpF6 (PBE-GGA, optimized geometry)
data_CsNa2NpF6
_chemical_formula_sum 'Cs3 Na6 Np3 F18'
_space_group_name_H-M_alt 'R 3'
_space_group_IT_number 146
_space_group_name_Hall 'R 3'
_cell_length_a 6.2467
_cell_length_b 6.2467
_cell_length_c 16.5204
_cell_angle_alpha 90.00
_cell_angle_beta 90.00
_cell_angle_gamma 120.00
loop_
_atom_site_label
_atom_site_fract_x
_atom_site_fract_y
_atom_site_fract_z
Cs1 0.0000 0.0000 0.0000
Na1 0.0000 0.0000 0.2605
Na2 0.0000 0.0000 0.7749
Np1 0.0000 0.0000 0.4697
F1 0.0095 0.6727 0.8587
F2 0.0316 0.4719 0.0405
# Magnetization in μB/f.u.: 4.0
# Theoretical density in g/cm³: 4.73
# Formation energy from raw total energies in eV per atom: -2.999

# Cs3Na2NpF9 (PBE-GGA, optimized geometry)
data_Cs3Na2NpF9
_chemical_formula_sum 'Cs3 Na2 Np1 F9'
_space_group_name_H-M_alt 'P -3 m 1'
_space_group_IT_number 164
_space_group_name_Hall '-P 3 2"'
_cell_length_a 6.5198
_cell_length_b 6.5198
_cell_length_c 8.2652
_cell_angle_alpha 90.00
_cell_angle_beta 90.00
_cell_angle_gamma 120.00
loop_
_atom_site_label
_atom_site_fract_x
_atom_site_fract_y
_atom_site_fract_z
Cs1 0.0000 0.0000 0.0000
Cs2 0.3333 0.6667 0.7306
Na1 0.3333 0.6667 0.1523
Np1 0.0000 0.0000 0.5000
F1 0.0000 0.5000 0.0000
F2 0.1563 0.3127 0.3467
# Magnetization in μB/f.u.: 3.0
# Theoretical density in g/cm³: 4.65
# Formation energy from raw total energies in eV per atom: -3.016

# Cs8NaO2F (PBE-GGA, optimized geometry)
data_Cs8NaO2F
_chemical_formula_sum 'Cs8 Na1 O2 F1'
_space_group_name_H-M_alt 'P -3 m 1'
_space_group_IT_number 164
_space_group_name_Hall '-P 3 2"'
_cell_length_a 8.8576
_cell_length_b 8.8576
_cell_length_c 11.4582
_cell_angle_alpha 90.00
_cell_angle_beta 90.00
_cell_angle_gamma 120.00
loop_
_atom_site_label
_atom_site_fract_x
_atom_site_fract_y
_atom_site_fract_z
Cs1 0.1676 0.3352 0.3285
Cs2 0.3333 0.6667 0.0210
Na1 0.0000 0.0000 0.0000
O1 0.3333 0.6667 0.2517
F1 0.0000 0.0000 0.5000
# Magnetization in μB/f.u.: 0.0
# Theoretical density in g/cm³: 2.43
# Formation energy from raw total energies in eV per atom: -0.902

# CsNaOF2 (PBE-GGA, optimized geometry)
data_CsNaOF2
_chemical_formula_sum 'Cs1 Na1 O1 F2'
_space_group_name_H-M_alt 'P 4/m m m'
_space_group_IT_number 123
_space_group_name_Hall '-P 4 2'
_cell_length_a 5.2016
_cell_length_b 5.2016
_cell_length_c 4.3676
_cell_angle_alpha 90.00
_cell_angle_beta 90.00
_cell_angle_gamma 90.00
loop_
_atom_site_label
_atom_site_fract_x
_atom_site_fract_y
_atom_site_fract_z
Cs1 0.0000 0.0000 0.0000
Na1 0.5000 0.5000 0.5000
O1 0.0000 0.0000 0.5000
F1 0.0000 0.5000 0.0000
# Magnetization in μB/f.u.: 0.0
# Theoretical density in g/cm³: 2.95
# Formation energy from raw total energies in eV per atom: -1.123

# Cs2NaOF (PBE-GGA, optimized geometry)
data_Cs2NaOF
_chemical_formula_sum 'Cs4 Na2 O2 F2'
_space_group_name_H-M_alt 'I m m 2'
_space_group_IT_number 44
_cell_length_a 4.2712
_cell_length_b 4.3433
_cell_length_c 15.5927
_cell_angle_alpha 90.00
_cell_angle_beta 90.00
_cell_angle_gamma 90.00
loop_
_space_group_symop_operation_xyz
'x,y,z'
'-x,-y,z'
'-x,y,z'
'x,-y,z'
'x+1/2,y+1/2,z+1/2'
'-x+1/2,-y+1/2,z+1/2'
'-x+1/2,y+1/2,z+1/2'
'x+1/2,-y+1/2,z+1/2'
loop_
_atom_site_label
_atom_site_fract_x
_atom_site_fract_y
_atom_site_fract_z
Cs1 0.0000 0.0000 0.0000
Cs2 0.0000 0.0000 0.2711
Na1 0.0000 0.0000 0.6150
O1 0.0000 0.5000 0.6555
F1 0.0000 0.0000 0.4684
# Magnetization in μB/f.u.: 0.1
# Theoretical density in g/cm³: 3.72
# Formation energy from raw total energies in eV per atom: -1.652

# CsNaOF2 (PBE-GGA, optimized geometry)
data_CsNaOF2
_chemical_formula_sum 'Cs1 Na1 O1 F2'
_space_group_name_H-M_alt 'P 4/m m m'
_space_group_IT_number 123
_space_group_name_Hall '-P 4 2'
_cell_length_a 4.6222
_cell_length_b 4.6222
_cell_length_c 4.5645
_cell_angle_alpha 90.00
_cell_angle_beta 90.00
_cell_angle_gamma 90.00
loop_
_atom_site_label
_atom_site_fract_x
_atom_site_fract_y
_atom_site_fract_z
Cs1 0.0000 0.0000 0.0000
Na1 0.5000 0.5000 0.5000
O1 0.5000 0.5000 0.0000
F1 0.0000 0.5000 0.5000
# Magnetization in μB/f.u.: 2.0
# Theoretical density in g/cm³: 3.57
# Formation energy from raw total energies in eV per atom: -1.518

# CsNaPF6 (PBE-GGA, optimized geometry)
data_CsNaPF6
_chemical_formula_sum 'Cs1 Na1 P1 F6'
_space_group_name_H-M_alt 'P 1'
_space_group_IT_number 1
_cell_length_a 5.4365
_cell_length_b 5.8186
_cell_length_c 6.2865
_cell_angle_alpha 88.18
_cell_angle_beta 87.00
_cell_angle_gamma 62.58
loop_
_space_group_symop_operation_xyz
'x,y,z'
loop_
_atom_site_label
_atom_site_fract_x
_atom_site_fract_y
_atom_site_fract_z
Cs1 0.0000 0.0000 0.0000
Na1 0.3631 0.3056 0.4651
P1 0.6802 0.6702 0.4911
F1 0.4124 0.6441 0.6434
F2 0.4410 0.0063 0.2341
F3 0.6490 0.9207 0.6528
F4 0.7084 0.4144 0.3371
F5 0.9005 0.4578 0.6590
F6 0.9663 0.6634 0.3552
# Magnetization in μB/f.u.: 1.0
# Theoretical density in g/cm³: 2.83
# Formation energy from raw total energies in eV per atom: -2.469

# CsNa2PaF8 (PBE-GGA, optimized geometry)
data_CsNa2PaF8
_chemical_formula_sum 'Cs3 Na6 Pa3 F24'
_space_group_name_H-M_alt 'R 3 2'
_space_group_IT_number 155
_space_group_name_Hall 'R 3 2"'
_cell_length_a 5.1968
_cell_length_b 5.1968
_cell_length_c 27.0252
_cell_angle_alpha 90.00
_cell_angle_beta 90.00
_cell_angle_gamma 120.00
loop_
_atom_site_label
_atom_site_fract_x
_atom_site_fract_y
_atom_site_fract_z
Cs1 0.0000 0.0000 0.0000
Na1 0.0000 0.0000 0.2736
Pa1 0.0000 0.0000 0.5000
F1 0.0000 0.0000 0.3536
F2 0.0065 0.3522 0.1178
# Magnetization in μB/f.u.: 0.0
# Theoretical density in g/cm³: 4.43
# Formation energy from raw total energies in eV per atom: -3.149